Entry 1:
Compound: KNa2NbS4
Source: Alexandria via LeMat-Bulk
Functional: PBE
Structure: relaxed

Geometry as extended XYZ:
```
16
Lattice="0.017 7.866 2.405 -4.010 1.466 -7.031 -2.675 -5.864 5.119" Properties=species:S:1:pos:R:3 pbc="T T T"
K -2.005 0.733 -3.516
S -3.319 0.659 5.640
S -2.241 -0.393 1.220
Na -1.338 -2.932 2.560
K -3.326 5.667 1.449
Nb -2.658 2.002 7.524
S -2.396 2.933 2.110
S -3.349 2.810 -5.147
S -4.428 3.861 -0.727
Nb -3.334 1.734 0.247
Na -1.996 4.666 -2.313
S -1.095 2.125 -0.977
Na -1.329 1.001 3.762
S -4.273 0.535 -1.617
S -5.573 1.343 1.470
Na 0.008 3.933 1.202
```

The density of states at the Fermi level comes out at 2.86 states/eV/cell. The formation energy (no corrections) is -0.96 eV/atom. The magnetization comes out at 0.0 μB/f.u.

---

Entry 2:
Compound: K2NaNbSe4
Source: Alexandria via LeMat-Bulk
Functional: PBE
Structure: relaxed

Geometry as extended XYZ:
```
8
Lattice="-3.273 -5.321 4.001 3.413 -3.854 4.545 -2.818 1.185 6.149" Properties=species:S:1:pos:R:3 pbc="T T T"
Na 0.000 0.000 0.000
K 0.298 -1.334 5.347
Se 0.695 -5.076 4.903
Nb -1.637 -2.661 2.000
Se -4.688 -3.816 7.515
Se -2.674 -2.386 4.187
K -1.339 -3.995 7.347
Se 0.716 -2.033 2.089
```

The density of states at the Fermi level comes out at 0.00 states/eV/cell. The formation energy (no corrections) is -1.06 eV/atom. The magnetization comes out at 0.0 μB/f.u.

---

Entry 3:
Compound: KNa2NbSi
Source: Alexandria via LeMat-Bulk
Functional: PBE
Structure: relaxed

Geometry as extended XYZ:
```
5
Lattice="5.705 0.000 0.000 0.000 5.101 0.000 0.000 0.000 5.705" Properties=species:S:1:pos:R:3 pbc="T T T"
Na 0.000 0.000 2.852
Si 0.000 0.000 0.000
K 2.852 2.551 2.852
Nb 0.000 2.551 0.000
Na 2.852 0.000 0.000
```

The density of states at the Fermi level comes out at 4.15 states/eV/cell. The formation energy (no corrections) is 0.56 eV/atom. The magnetization comes out at 3.2 μB/f.u.

---

Entry 4:
Compound: KNa2NbSn
Source: Alexandria via LeMat-Bulk
Functional: PBE
Structure: relaxed

Geometry as extended XYZ:
```
5
Lattice="5.920 0.000 0.000 0.000 5.920 0.000 0.000 0.000 5.577" Properties=species:S:1:pos:R:3 pbc="T T T"
Sn 0.000 0.000 0.000
Nb 0.000 0.000 2.788
Na 2.960 0.000 0.000
Na 0.000 2.960 0.000
K 2.960 2.960 2.788
```

The density of states at the Fermi level comes out at 3.02 states/eV/cell. As for the calculated formation energy: 53.8 kJ/mol of atoms. The magnetization comes out at 3.6 μB/f.u.

---

Entry 5:
Compound: KNaTa2Nb
Source: Alexandria via LeMat-Bulk
Functional: PBE
Structure: relaxed

Geometry as extended XYZ:
```
5
Lattice="-1.396 4.498 -1.894 0.886 -1.471 -4.146 -4.776 -1.664 -0.430" Properties=species:S:1:pos:R:3 pbc="T T T"
Ta -0.698 2.249 -0.947
Nb -2.643 0.681 -3.235
K 0.443 -0.736 -2.073
Na 0.000 0.000 0.000
Ta -2.388 -0.832 -0.215
```

The density of states at the Fermi level comes out at 9.33 states/eV/cell. As for the calculated formation energy: 244.7 kJ/mol of atoms. The magnetization comes out at 0.0 μB/f.u.

---

Entry 6:
Compound: KNaNd
Source: Alexandria via LeMat-Bulk
Functional: PBE
Structure: relaxed

Geometry as extended XYZ:
```
6
Lattice="-0.990 0.308 3.719 -2.080 -3.240 -0.286 14.304 -9.590 4.604" Properties=species:S:1:pos:R:3 pbc="T T T"
K 7.662 -7.455 2.658
Nd 12.309 -10.570 4.154
Nd 0.460 -0.486 2.167
K 5.106 -3.602 3.662
Na 2.008 -3.664 0.838
Na 10.760 -7.393 5.482
```

The density of states at the Fermi level comes out at 5.79 states/eV/cell. As for the calculated formation energy: 11.5 kJ/mol of atoms. The magnetization comes out at 0.0 μB/f.u.

---

Entry 7:
Compound: K2NaNd
Source: Alexandria via LeMat-Bulk
Functional: PBE
Structure: relaxed

Geometry as extended XYZ:
```
4
Lattice="-3.629 -0.796 -0.856 -0.802 -2.565 -2.704 -1.529 -11.726 8.890" Properties=species:S:1:pos:R:3 pbc="T T T"
Nd 0.000 0.000 0.000
Na -2.980 -7.543 2.665
K -1.516 -9.002 6.301
K -4.444 -6.085 -0.972
```

The density of states at the Fermi level comes out at 3.15 states/eV/cell. As for the calculated formation energy: 29.1 kJ/mol of atoms. The magnetization comes out at 0.0 μB/f.u.

---

Entry 8:
Compound: KNa2Nd
Source: Alexandria via LeMat-Bulk
Functional: PBE
Structure: relaxed

Geometry as extended XYZ:
```
4
Lattice="3.685 0.000 0.000 1.843 3.191 0.000 1.843 1.064 14.290" Properties=species:S:1:pos:R:3 pbc="T T T"
Na 1.843 1.064 10.816
Na 5.528 3.191 3.474
K 3.685 2.128 7.145
Nd 0.000 0.000 0.000
```

The density of states at the Fermi level comes out at 2.90 states/eV/cell. As for the calculated formation energy: 26.1 kJ/mol of atoms. The magnetization comes out at 0.0 μB/f.u.